a:
! AcSc2 PBE optimized geometry; values from VASP
&SYSTEM
  ibrav = 0, nat = 3, ntyp = 2
/
ATOMIC_SPECIES
Sc 44.96 Sc.upf
Ac 227.00 Ac.upf
CELL_PARAMETERS angstrom
3.9313 -0.0005 -0.0004
-0.0005 3.9306 -0.0004
-1.9658 -1.9655 5.9275
ATOMIC_POSITIONS crystal
Sc 0.1855 0.1855 0.3710
Sc 0.8145 0.8145 0.6290
Ac 0.5000 0.5000 0.0000
! density	5.75	g/cm³
! SG	I4/mmm

=====

b:
! AcSc2 PBE optimized geometry; values from VASP
&SYSTEM
  ibrav = 0, nat = 6, ntyp = 2
/
ATOMIC_SPECIES
Sc 44.96 Sc.upf
Ac 227.00 Ac.upf
CELL_PARAMETERS angstrom
6.5177 0.0000 0.0000
3.2588 5.6445 0.0000
3.2588 1.8815 5.3217
ATOMIC_POSITIONS crystal
Sc 0.1250 0.6250 0.6250
Sc 0.6250 0.1250 0.6250
Sc 0.6250 0.6250 0.6250
Sc 0.6250 0.6250 0.1250
Ac 0.0000 0.0000 0.0000
Ac 0.2500 0.2500 0.2500
! density	5.38	g/cm³
! SG	Fd-3m

=====

What should be chosen as the least stable of them? Choose b.

=====

a:
! AcScSe2 PBE optimized geometry; values from VASP
&SYSTEM
  ibrav = 0, nat = 4, ntyp = 3
/
ATOMIC_SPECIES
Sc 44.96 Sc.upf
Ac 227.00 Ac.upf
Se 78.96 Se.upf
CELL_PARAMETERS angstrom
-2.4904 2.5237 -1.9631
-0.3683 -0.2430 -4.0287
-6.3441 -3.9553 -1.2201
ATOMIC_POSITIONS crystal
Sc 0.0000 0.0000 0.0000
Ac 0.5000 0.5000 0.5000
Se 0.7350 0.7350 0.7950
Se 0.2650 0.2650 0.2050
! density	6.97	g/cm³
! SG	R-3m

=====

b:
! AcScSe2 PBE optimized geometry; values from VASP
&SYSTEM
  ibrav = 0, nat = 8, ntyp = 3
/
ATOMIC_SPECIES
Ac 227.00 Ac.upf
Sc 44.96 Sc.upf
Se 78.96 Se.upf
CELL_PARAMETERS angstrom
4.2742 -0.0003 -0.0009
0.0003 4.2759 -0.0042
0.0021 0.0134 11.7147
ATOMIC_POSITIONS crystal
Ac 0.2010 0.9828 0.7357
Ac 0.7010 0.4830 0.4803
Sc 0.2008 0.9843 0.2265
Sc 0.7010 0.4833 0.9894
Se 0.7010 0.4839 0.2180
Se 0.7010 0.4828 0.7541
Se 0.2010 0.9830 0.4618
Se 0.2010 0.9837 0.9980
! density	6.67	g/cm³
! SG	Pmn2_1

=====

What should be chosen as the least stable of them? Choose b.

=====

a:
! AcScSn PBE optimized geometry; values from VASP
&SYSTEM
  ibrav = 0, nat = 6, ntyp = 3
/
ATOMIC_SPECIES
Ac 227.00 Ac.upf
Sc 44.96 Sc.upf
Sn 118.71 Sn.upf
CELL_PARAMETERS angstrom
4.7047 0.0000 0.0000
0.0000 4.7047 0.0000
0.0000 0.0000 8.5577
ATOMIC_POSITIONS crystal
Ac 0.0000 0.5000 0.8488
Ac 0.5000 0.0000 0.1512
Sc 0.5000 0.5000 0.5000
Sc 0.0000 0.0000 0.5000
Sn 0.0000 0.5000 0.2728
Sn 0.5000 0.0000 0.7272
! density	6.85	g/cm³
! SG	P4/nmm

=====

b:
! AcScSn PBE optimized geometry; values from VASP
&SYSTEM
  ibrav = 0, nat = 3, ntyp = 3
/
ATOMIC_SPECIES
Sc 44.96 Sc.upf
Ac 227.00 Ac.upf
Sn 118.71 Sn.upf
CELL_PARAMETERS angstrom
3.9522 0.0000 0.0000
0.0000 3.9522 0.0000
-1.9761 -1.9761 5.9471
ATOMIC_POSITIONS crystal
Sc 0.3183 0.3183 0.6366
Ac 0.6134 0.6134 0.2267
Sn 0.9184 0.9184 0.8367
! density	6.98	g/cm³
! SG	I4mm

=====

c:
! AcScSn PBE optimized geometry; values from VASP
&SYSTEM
  ibrav = 0, nat = 6, ntyp = 3
/
ATOMIC_SPECIES
Ac 227.00 Ac.upf
Sc 44.96 Sc.upf
Sn 118.71 Sn.upf
CELL_PARAMETERS angstrom
4.5175 0.1762 -1.2122
-0.5008 4.4931 -1.2122
0.0611 0.0711 9.2742
ATOMIC_POSITIONS crystal
Ac 0.3266 0.3266 0.6531
Ac 0.6734 0.6734 0.3469
Sc 0.5000 0.0000 0.0000
Sc 0.0000 0.5000 0.0000
Sn 0.8829 0.8829 0.7659
Sn 0.1171 0.1171 0.2341
! density	6.84	g/cm³
! SG	I4/mmm

=====

What should be chosen as the least stable of them? Choose b.

=====

a:
! Ac2ScSn2 PBE optimized geometry; values from VASP
&SYSTEM
  ibrav = 0, nat = 5, ntyp = 3
/
ATOMIC_SPECIES
Ac 227.00 Ac.upf
Sc 44.96 Sc.upf
Sn 118.71 Sn.upf
CELL_PARAMETERS angstrom
-3.3983 -2.1095 2.5312
-3.2340 -4.4812 -3.6507
1.3622 -6.4180 0.9058
ATOMIC_POSITIONS crystal
Ac 0.7978 0.7022 0.7022
Ac 0.2022 0.2978 0.2978
Sc 0.0000 0.0000 0.0000
Sn 0.5000 0.7326 0.2674
Sn 0.5000 0.2674 0.7326
! density	7.38	g/cm³
! SG	Immm

=====

b:
! Ac2ScSn2 PBE optimized geometry; values from VASP
&SYSTEM
  ibrav = 0, nat = 10, ntyp = 3
/
ATOMIC_SPECIES
Ac 227.00 Ac.upf
Sc 44.96 Sc.upf
Sn 118.71 Sn.upf
CELL_PARAMETERS angstrom
-0.4930 -4.0590 -2.7291
3.2387 -4.5642 6.2034
-7.8985 0.7786 4.6965
ATOMIC_POSITIONS crystal
Ac 0.9677 0.7287 0.9353
Ac 0.7930 0.3906 0.5861
Ac 0.2070 0.8906 0.4139
Ac 0.0323 0.2287 0.0647
Sc 0.4050 0.0818 0.8100
Sc 0.5950 0.5818 0.1900
Sn 0.4352 0.4363 0.8704
Sn 0.8298 0.9970 0.6596
Sn 0.1702 0.4970 0.3404
Sn 0.5648 0.9363 0.1296
! density	6.70	g/cm³
! SG	Cmc2_1

=====

What should be chosen as the least stable of them? Choose b.

=====

a:
! AcSc2Sn PBE optimized geometry; values from VASP
&SYSTEM
  ibrav = 0, nat = 4, ntyp = 3
/
ATOMIC_SPECIES
Sc 44.96 Sc.upf
Ac 227.00 Ac.upf
Sn 118.71 Sn.upf
CELL_PARAMETERS angstrom
4.6718 0.0000 0.0000
0.0000 4.8776 0.0000
0.0000 0.0000 4.8776
ATOMIC_POSITIONS crystal
Sc 0.0000 0.0000 0.5000
Sc 0.0000 0.5000 0.0000
Ac 0.5000 0.0000 0.0000
Sn 0.5000 0.5000 0.5000
! density	6.51	g/cm³
! SG	P4/mmm

=====

b:
! AcSc2Sn PBE optimized geometry; values from VASP
&SYSTEM
  ibrav = 0, nat = 4, ntyp = 3
/
ATOMIC_SPECIES
Sc 44.96 Sc.upf
Ac 227.00 Ac.upf
Sn 118.71 Sn.upf
CELL_PARAMETERS angstrom
5.3005 0.0000 0.0000
2.6502 4.5903 0.0000
2.6502 1.5301 4.3278
ATOMIC_POSITIONS crystal
Sc 0.2500 0.2500 0.2500
Sc 0.7500 0.7500 0.7500
Ac 0.0000 0.0000 0.0000
Sn 0.5000 0.5000 0.5000
! density	6.87	g/cm³
! SG	Fm-3m

=====

c:
! AcSc2Sn PBE optimized geometry; values from VASP
&SYSTEM
  ibrav = 0, nat = 4, ntyp = 3
/
ATOMIC_SPECIES
Sc 44.96 Sc.upf
Ac 227.00 Ac.upf
Sn 118.71 Sn.upf
CELL_PARAMETERS angstrom
3.7583 0.0000 0.0000
0.0000 3.7583 0.0000
0.0000 0.0000 7.8603
ATOMIC_POSITIONS crystal
Sc 0.0000 0.0000 0.7987
Sc 0.0000 0.0000 0.2013
Ac 0.5000 0.5000 0.5000
Sn 0.5000 0.5000 0.0000
! density	6.52	g/cm³
! SG	P4/mmm

=====

What should be chosen as the least stable of them? Choose b.

=====

a:
! AcScSn3 PBE optimized geometry; values from VASP
&SYSTEM
  ibrav = 0, nat = 5, ntyp = 3
/
ATOMIC_SPECIES
Ac 227.00 Ac.upf
Sc 44.96 Sc.upf
Sn 118.71 Sn.upf
CELL_PARAMETERS angstrom
-2.0522 -4.3917 0.0700
-0.0097 -0.0727 -4.8475
6.9527 -0.5345 2.4184
ATOMIC_POSITIONS crystal
Ac 0.9704 0.9704 0.9408
Sc 0.6451 0.6451 0.2902
Sn 0.2721 0.7721 0.5443
Sn 0.7721 0.2721 0.5443
Sn 0.4305 0.4305 0.8609
! density	6.79	g/cm³
! SG	I4mm

=====

b:
! AcScSn3 PBE optimized geometry; values from VASP
&SYSTEM
  ibrav = 0, nat = 10, ntyp = 3
/
ATOMIC_SPECIES
Ac 227.00 Ac.upf
Sc 44.96 Sc.upf
Sn 118.71 Sn.upf
CELL_PARAMETERS angstrom
6.5766 0.0000 0.0000
0.0000 6.1613 -3.5572
0.0000 0.0000 7.1144
ATOMIC_POSITIONS crystal
Ac 0.7500 0.3333 0.6667
Ac 0.2500 0.6667 0.3333
Sc 0.5000 0.0000 0.0000
Sc 0.0000 0.0000 0.0000
Sn 0.7500 0.8045 0.6090
Sn 0.2500 0.1955 0.8045
Sn 0.7500 0.3910 0.1955
Sn 0.2500 0.6090 0.8045
Sn 0.2500 0.1955 0.3910
Sn 0.7500 0.8045 0.1955
! density	7.24	g/cm³
! SG	P6_3/mmc

=====

What should be chosen as the least stable of them? Choose a.

=====

a:
! Ac2ScSn PBE optimized geometry; values from VASP
&SYSTEM
  ibrav = 0, nat = 4, ntyp = 3
/
ATOMIC_SPECIES
Sc 44.96 Sc.upf
Ac 227.00 Ac.upf
Sn 118.71 Sn.upf
CELL_PARAMETERS angstrom
3.7289 0.0000 0.0000
1.8644 3.2293 0.0000
1.8644 1.0764 12.3297
ATOMIC_POSITIONS crystal
Sc 0.5000 0.5000 0.5000
Ac 0.0909 0.0909 0.7273
Ac 0.9091 0.9091 0.2727
Sn 0.0000 0.0000 0.0000
! density	6.91	g/cm³
! SG	R-3m

=====

b:
! Ac2ScSn PBE optimized geometry; values from VASP
&SYSTEM
  ibrav = 0, nat = 4, ntyp = 3
/
ATOMIC_SPECIES
Sc 44.96 Sc.upf
Ac 227.00 Ac.upf
Sn 118.71 Sn.upf
CELL_PARAMETERS angstrom
-0.4121 5.3672 2.0957
-2.6575 4.1051 -3.0748
-5.1208 2.0416 1.7254
ATOMIC_POSITIONS crystal
Sc 0.0000 0.0000 0.0000
Ac 0.2500 0.2500 0.2500
Ac 0.7500 0.7500 0.7500
Sn 0.5000 0.5000 0.5000
! density	7.53	g/cm³
! SG	Fm-3m

=====

c:
! Ac2ScSn PBE optimized geometry; values from VASP
&SYSTEM
  ibrav = 0, nat = 4, ntyp = 3
/
ATOMIC_SPECIES
Sc 44.96 Sc.upf
Ac 227.00 Ac.upf
Sn 118.71 Sn.upf
CELL_PARAMETERS angstrom
-4.8027 0.6483 0.8387
-0.3462 -4.8534 1.7693
1.0608 1.6687 4.7850
ATOMIC_POSITIONS crystal
Sc 0.5000 0.5000 0.5000
Ac 0.0000 0.0000 0.5000
Ac 0.0000 0.5000 0.0000
Sn 0.5000 0.0000 0.0000
! density	7.78	g/cm³
! SG	P4/mmm

=====

What should be chosen as the least stable of them? Choose a.

=====

a:
! AcTh2Sc PBE optimized geometry; values from VASP
&SYSTEM
  ibrav = 0, nat = 4, ntyp = 3
/
ATOMIC_SPECIES
Sc 44.96 Sc.upf
Ac 227.00 Ac.upf
Th 232.04 Th.upf
CELL_PARAMETERS angstrom
-3.6026 -0.0058 -0.5918
0.4494 -2.4021 -2.7124
-1.0387 -7.4152 6.3947
ATOMIC_POSITIONS crystal
Sc 0.5000 0.5000 0.0000
Ac 0.5000 0.5000 0.5000
Th 0.0000 0.0000 0.7751
Th 0.0000 0.0000 0.2249
! density	9.31	g/cm³
! SG	P4/mmm

=====

b:
! AcTh2Sc PBE optimized geometry; values from VASP
&SYSTEM
  ibrav = 0, nat = 4, ntyp = 3
/
ATOMIC_SPECIES
Sc 44.96 Sc.upf
Ac 227.00 Ac.upf
Th 232.04 Th.upf
CELL_PARAMETERS angstrom
-4.1399 2.8187 1.2432
-2.1829 -4.0928 2.0104
2.0841 1.0869 4.4758
ATOMIC_POSITIONS crystal
Sc 0.5000 0.0000 0.0000
Ac 0.5000 0.5000 0.5000
Th 0.0000 0.0000 0.5000
Th 0.0000 0.5000 0.0000
! density	9.27	g/cm³
! SG	P4/mmm

=====

What should be chosen as the least stable of them? Choose b.

=====

a:
! AcSc2Ti PBE optimized geometry; values from VASP
&SYSTEM
  ibrav = 0, nat = 4, ntyp = 3
/
ATOMIC_SPECIES
Sc 44.96 Sc.upf
Ac 227.00 Ac.upf
Ti 47.87 Ti.upf
CELL_PARAMETERS angstrom
3.7374 0.0000 0.0000
0.0000 3.7374 0.0000
0.0000 0.0000 7.7725
ATOMIC_POSITIONS crystal
Sc 0.0000 0.0000 0.8062
Sc 0.0000 0.0000 0.1938
Ac 0.5000 0.5000 0.5000
Ti 0.5000 0.5000 0.0000
! density	5.58	g/cm³
! SG	P4/mmm

=====

b:
! AcSc2Ti PBE optimized geometry; values from VASP
&SYSTEM
  ibrav = 0, nat = 4, ntyp = 3
/
ATOMIC_SPECIES
Sc 44.96 Sc.upf
Ac 227.00 Ac.upf
Ti 47.87 Ti.upf
CELL_PARAMETERS angstrom
3.3227 0.0000 0.0000
1.6614 2.8775 0.0000
1.6614 0.9592 11.3844
ATOMIC_POSITIONS crystal
Sc 0.0989 0.0989 0.7034
Sc 0.9011 0.9011 0.2966
Ac 0.0000 0.0000 0.0000
Ti 0.5000 0.5000 0.5000
! density	5.56	g/cm³
! SG	R-3m

=====

What should be chosen as the least stable of them? Choose b.

=====

a:
! AcSc2Tl PBE optimized geometry; values from VASP
&SYSTEM
  ibrav = 0, nat = 4, ntyp = 3
/
ATOMIC_SPECIES
Sc 44.96 Sc.upf
Ac 227.00 Ac.upf
Tl 204.38 Tl.upf
CELL_PARAMETERS angstrom
5.1255 0.0000 0.0000
2.5628 4.4388 0.0000
2.5628 1.4796 5.2603
ATOMIC_POSITIONS crystal
Sc 0.7824 0.7824 0.6529
Sc 0.2176 0.2176 0.3471
Ac 0.0000 0.0000 0.0000
Tl 0.5000 0.5000 0.5000
! density	7.23	g/cm³
! SG	R-3m

=====

b:
! AcSc2Tl PBE optimized geometry; values from VASP
&SYSTEM
  ibrav = 0, nat = 4, ntyp = 3
/
ATOMIC_SPECIES
Ac 227.00 Ac.upf
Sc 44.96 Sc.upf
Tl 204.38 Tl.upf
CELL_PARAMETERS angstrom
-4.5601 0.2609 1.9368
-1.6222 -3.5880 3.0181
0.0847 1.8364 6.3063
ATOMIC_POSITIONS crystal
Ac 0.4915 0.4915 0.5255
Sc 0.0352 0.0352 0.8943
Sc 0.2803 0.2803 0.1592
Tl 0.6930 0.6930 0.9210
! density	6.87	g/cm³
! SG	R3m

=====

What should be chosen as the least stable of them? Choose a.

=====

a:
! AcSc2Tl PBE optimized geometry; values from VASP
&SYSTEM
  ibrav = 0, nat = 4, ntyp = 3
/
ATOMIC_SPECIES
Sc 44.96 Sc.upf
Ac 227.00 Ac.upf
Tl 204.38 Tl.upf
CELL_PARAMETERS angstrom
3.6323 0.0000 0.0000
0.0000 3.6323 0.0000
0.0000 0.0000 8.5157
ATOMIC_POSITIONS crystal
Sc 0.0000 0.0000 0.7895
Sc 0.0000 0.0000 0.2105
Ac 0.5000 0.5000 0.5000
Tl 0.5000 0.5000 0.0000
! density	7.70	g/cm³
! SG	P4/mmm

=====

b:
! AcSc2Tl PBE optimized geometry; values from VASP
&SYSTEM
  ibrav = 0, nat = 4, ntyp = 3
/
ATOMIC_SPECIES
Sc 44.96 Sc.upf
Ac 227.00 Ac.upf
Tl 204.38 Tl.upf
CELL_PARAMETERS angstrom
4.7795 0.0000 0.0000
0.0000 4.8965 0.0000
0.0000 0.0000 4.8965
ATOMIC_POSITIONS crystal
Sc 0.0000 0.0000 0.5000
Sc 0.0000 0.5000 0.0000
Ac 0.5000 0.5000 0.5000
Tl 0.5000 0.0000 0.0000
! density	7.55	g/cm³
! SG	P4/mmm

=====

What should be chosen as the least stable of them? Choose b.

=====

a:
! Ac2ScTl PBE optimized geometry; values from VASP
&SYSTEM
  ibrav = 0, nat = 4, ntyp = 3
/
ATOMIC_SPECIES
Sc 44.96 Sc.upf
Ac 227.00 Ac.upf
Tl 204.38 Tl.upf
CELL_PARAMETERS angstrom
-0.6530 -2.8291 2.3605
-0.4860 -3.4664 -1.3230
11.9834 -4.1833 1.2670
ATOMIC_POSITIONS crystal
Sc 0.5000 0.5000 0.5000
Ac 0.0922 0.0922 0.7233
Ac 0.9078 0.9078 0.2767
Tl 0.0000 0.0000 0.0000
! density	7.66	g/cm³
! SG	R-3m

=====

b:
! Ac2ScTl PBE optimized geometry; values from VASP
&SYSTEM
  ibrav = 0, nat = 4, ntyp = 3
/
ATOMIC_SPECIES
Sc 44.96 Sc.upf
Ac 227.00 Ac.upf
Tl 204.38 Tl.upf
CELL_PARAMETERS angstrom
4.1805 0.0000 0.0000
0.0000 4.1805 0.0000
0.0000 0.0000 8.0410
ATOMIC_POSITIONS crystal
Sc 0.5000 0.5000 0.5000
Ac 0.0000 0.0000 0.7528
Ac 0.0000 0.0000 0.2472
Tl 0.5000 0.5000 0.0000
! density	8.31	g/cm³
! SG	P4/mmm

=====

c:
! Ac2ScTl PBE optimized geometry; values from VASP
&SYSTEM
  ibrav = 0, nat = 4, ntyp = 3
/
ATOMIC_SPECIES
Sc 44.96 Sc.upf
Ac 227.00 Ac.upf
Tl 204.38 Tl.upf
CELL_PARAMETERS angstrom
-1.3765 5.0403 -2.5553
-4.7818 2.8790 1.6354
0.4759 4.9854 2.9578
ATOMIC_POSITIONS crystal
Sc 0.5000 0.5000 0.5000
Ac 0.2500 0.2500 0.2500
Ac 0.7500 0.7500 0.7500
Tl 0.0000 0.0000 0.0000
! density	8.39	g/cm³
! SG	Fm-3m

=====

What should be chosen as the least stable of them? Choose a.